[1]
# Ca2Ti6N2O11

Crystalline Ca2Ti6N2O11 at its relaxed geometry (PBE, Alexandria).

a = 3.7416 Å, b = 7.7479 Å, c = 9.8182 Å
α = 102.84°, β = 90.00°, γ = 103.97°
Positions (direct):
O (0.0034, 0.0081, 0.0266)
O (0.1428, 0.2870, 0.8827)
O (0.6441, 0.2895, 0.1067)
O (0.7526, 0.5064, 0.7756)
O (0.8724, 0.7462, 0.4109)
O (0.2375, 0.4762, 0.2402)
O (0.3593, 0.7197, 0.9017)
O (0.0511, 0.1032, 0.3087)
O (0.6932, 0.3877, 0.4270)
O (0.1160, 0.2331, 0.6094)
O (0.8521, 0.7052, 0.1307)
Ti (0.8305, 0.6623, 0.5703)
Ti (0.2362, 0.4735, 0.7483)
Ti (0.8928, 0.7868, 0.8874)
Ti (0.1300, 0.2613, 0.0596)
Ti (0.7784, 0.5581, 0.2458)
Ti (0.1547, 0.3107, 0.4375)
N (0.2904, 0.5821, 0.5922)
N (0.9366, 0.8744, 0.7276)
Ca (0.5489, 0.0989, 0.7255)
Ca (0.4688, 0.9386, 0.1856)

* formation energy without anion corrections: -2.752 eV/atom

[2]
# MnSb

Crystalline MnSb at its relaxed geometry (PBE, Alexandria).

a = 10.4554 Å, b = 10.4554 Å, c = 10.4554 Å
α = 17.21°, β = 17.21°, γ = 17.21°
Site moments in Bohr magnetons follow the coordinates.
Positions (direct):
Mn (0.2594, 0.2594, 0.2594)  3.25
Mn (0.9906, 0.9906, 0.9906)  3.25
Sb (0.5223, 0.5223, 0.5223)  -0.15
Sb (0.7277, 0.7277, 0.7277)  -0.15

* formation energy without anion corrections: 0.382 eV/atom

[3]
# Ac2CdSb

Crystalline Ac2CdSb at its relaxed geometry (PBE, Alexandria).

a = 4.2273 Å, b = 4.2273 Å, c = 7.6211 Å
α = 90.00°, β = 90.00°, γ = 90.00°
Positions (direct):
Ac (0.0000, 0.0000, 0.2593)
Ac (0.0000, 0.0000, 0.7407)
Cd (0.5000, 0.5000, 0.0000)
Sb (0.5000, 0.5000, 0.5000)

* formation energy without anion corrections: -0.645 eV/atom

[4]
# ZnPtW

Crystalline ZnPtW at its relaxed geometry (PBE, Alexandria).

a = 4.6861 Å, b = 4.6861 Å, c = 10.6561 Å
α = 90.00°, β = 90.00°, γ = 120.00°
Positions (direct):
Pt (0.3333, 0.6667, 0.4837)
Pt (0.3333, 0.6667, 0.0163)
Pt (0.6667, 0.3333, 0.9837)
Pt (0.6667, 0.3333, 0.5163)
W (0.3333, 0.6667, 0.2500)
W (0.0000, 0.0000, 0.5000)
W (0.6667, 0.3333, 0.7500)
W (0.0000, 0.0000, 0.0000)
Zn (0.3333, 0.6667, 0.7500)
Zn (0.0000, 0.0000, 0.7500)
Zn (0.6667, 0.3333, 0.2500)
Zn (0.0000, 0.0000, 0.2500)

* calculated formation energy: 0.465 eV per atom

[5]
# SrLa2Cu

Crystalline SrLa2Cu at its relaxed geometry (PBE, Alexandria).

a = 5.5828 Å, b = 5.5828 Å, c = 5.5828 Å
α = 60.00°, β = 60.00°, γ = 60.00°
Site moments in Bohr magnetons follow the coordinates.
Positions (direct):
La (0.2500, 0.2500, 0.2500)  0.24
La (0.0000, 0.0000, 0.0000)  0.35
Cu (0.5000, 0.5000, 0.5000)  0.01
Sr (0.7500, 0.7500, 0.7500)  0.07

* calculated formation energy: 0.352 eV per atom

[6]
# SrSmCuAu

Crystalline SrSmCuAu at its relaxed geometry (PBE, Alexandria).

a = 5.2289 Å, b = 5.2289 Å, c = 5.2289 Å
α = 60.00°, β = 60.00°, γ = 60.00°
Positions (direct):
Au (0.2500, 0.2500, 0.2500)
Sm (0.5000, 0.5000, 0.5000)
Cu (0.7500, 0.7500, 0.7500)
Sr (0.0000, 0.0000, 0.0000)

* calculated formation energy: -0.375 eV per atom

[7]
# TmMg3Hg4

Crystalline TmMg3Hg4 at its relaxed geometry (PBE, Alexandria).

a = 4.9545 Å, b = 4.9545 Å, c = 8.7812 Å
α = 73.61°, β = 73.61°, γ = 60.00°
Positions (direct):
Tm (0.0000, 0.0000, 0.0000)
Hg (0.1265, 0.1265, 0.6204)
Hg (0.8735, 0.8735, 0.3796)
Hg (0.3787, 0.3787, 0.8639)
Hg (0.6213, 0.6213, 0.1361)
Mg (0.7506, 0.7506, 0.7483)
Mg (0.5000, 0.5000, 0.5000)
Mg (0.2494, 0.2494, 0.2517)

* calculated formation energy: -0.313 eV per atom

[8]
# Ho4PaN4

Crystalline Ho4PaN4 at its relaxed geometry (PBE, Alexandria).

a = 5.9951 Å, b = 5.9951 Å, c = 5.9951 Å
α = 99.73°, β = 99.73°, γ = 131.45°
Positions (direct):
Ho (0.6031, 0.8086, 0.4118)
Ho (0.3969, 0.1914, 0.5882)
Ho (0.1914, 0.6031, 0.7945)
Ho (0.8086, 0.3969, 0.2055)
N (0.9072, 0.7125, 0.6197)
N (0.0928, 0.2875, 0.3803)
N (0.7125, 0.0928, 0.8052)
N (0.2875, 0.9072, 0.1948)
Pa (0.0000, 0.0000, 0.0000)

* formation energy without anion corrections: -1.456 eV/atom

Result set for density of states at the Fermi level: 0.0 2.0 3.4 6.7 7.3 3.1 3.6 4.8 states/eV/cell, one per record in the order listed.
Result set for total energy: -8.59 -6.26 -3.96 -6.29 -3.56 -3.82 -1.62 -8.25 eV per atom, one per record in the order listed.